A relaxed structure of CrHg5S2O5. Source: the Alexandria database, functional PBE with a Hubbard U.

abc: 7.2505 8.4581 9.6404
angles: 84.02 81.00 69.58
Space group P-1 (No. 2)
One atom of each set of equivalent atoms:
Cr 0.0809 0.3675 0.2950 [2 per cell]
Hg 0.1254 0.7119 0.0375 [2 per cell]
Hg 0.1845 0.8873 0.3449 [2 per cell]
Hg 0.2868 0.1861 0.6489 [2 per cell]
Hg 0.3493 0.4295 0.9222 [2 per cell]
Hg 0.5000 0.0000 0.0000 [1 per cell]
Hg 0.5000 0.5000 0.5000 [1 per cell]
S 0.0727 0.0543 0.8040 [2 per cell]
S 0.4197 0.7980 0.5143 [2 per cell]
O 0.1035 0.2139 0.4235 [2 per cell]
O 0.1401 0.2808 0.1384 [2 per cell]
O 0.1575 0.4958 0.6938 [2 per cell]
O 0.2291 0.4744 0.3064 [2 per cell]
O 0.4878 0.8192 0.1543 [2 per cell]

Summary:
mass density: 7.29 Mg/m³
raw total energy: -3.783 eV per atom
DOS(E_F): 0.0000 states/eV per atom